# PBE ReP2AuCl, optimized geometry
# Formation energy (no corrections), eV per atom: 0.6083
# Total magnetization, μB/atom: 0.000
# Energy above the lowest structure with this stoichiometry, meV per atom: 0
# Volume, Å³/atom: 20.920
data_ReP2AuCl
_cell_length_a 4.585
_cell_length_b 4.585
_cell_length_c 4.976
_cell_angle_alpha 90.00
_cell_angle_beta 90.00
_cell_angle_gamma 90.00
_symmetry_space_group_name_H-M 'P 4/m m m'
_symmetry_Int_Tables_number 123
_symmetry_space_group_name_Hall '-P 4 2'
loop_
_atom_site_label
_atom_site_type_symbol
_atom_site_fract_x
_atom_site_fract_y
_atom_site_fract_z
_atom_site_occupancy
Re1 Re 0.000 0.000 0.000 1
P1 P 0.000 0.500 0.000 1
Au1 Au 0.500 0.500 0.500 1
Cl1 Cl 0.000 0.000 0.500 1